Here is a relaxed structure of K2NaCu2Cl6 from the Alexandria database. Energies are from PBE.

Final energy   -3.326 eV per atom
Crystal system   monoclinic

Unit cell a=7.139 b=7.243 c=7.869 alpha=113.98 beta=90.00 gamma=119.53
Fractional positions:
K (0.713, 0.426, 0.186)
K (0.287, 0.574, 0.814)
Cl (0.184, 0.871, 0.192)
Cl (0.816, 0.129, 0.808)
Cl (0.248, 0.496, 0.386)
Cl (0.687, 0.871, 0.192)
Cl (0.752, 0.504, 0.614)
Cl (0.313, 0.129, 0.808)
Na (0.500, 0.000, 0.500)
Cu (0.947, 0.894, 0.748)
Cu (0.053, 0.106, 0.252)